No. 1
KLaY2Os | PBE-GGA | relaxed

Output
VASP energy = -5.976 eV per atom
total magnetization = 0.00 μB/f.u.
ΔE_f = 0.061 eV/atom
calculated volume = 35.68 A^3/atom

Lattice parameters (Å, degrees): 5.6009 5.6866 5.6009 90.00 90.00 90.00
Positions (direct):
Y 0.0000 0.0000 0.5000
Y 0.5000 0.0000 0.0000
K 0.5000 0.5000 0.5000
Os 0.0000 0.0000 0.0000
La 0.0000 0.5000 0.0000

=====

No. 2
KLa2YOs | PBE-GGA | relaxed

Output
VASP energy = -5.679 eV per atom
total magnetization = 0.00 μB/f.u.
ΔE_f = 0.050 eV/atom
calculated volume = 37.21 A^3/atom

Lattice parameters (Å, degrees): 5.7358 5.7358 5.6549 90.00 90.00 90.00
Positions (direct):
Y 0.0000 0.0000 0.5000
K 0.5000 0.5000 0.5000
Os 0.0000 0.0000 0.0000
La 0.0000 0.5000 0.0000
La 0.5000 0.0000 0.0000

=====

No. 3
KLa2ZnOs | PBE-GGA | relaxed

Output
VASP energy = -4.611 eV per atom
total magnetization = 0.00 μB/f.u.
ΔE_f = 0.080 eV/atom
calculated volume = 32.51 A^3/atom

Lattice parameters (Å, degrees): 5.5709 5.5709 5.2377 90.00 90.00 90.00
Positions (direct):
Zn 0.0000 0.0000 0.5000
Os 0.0000 0.0000 0.0000
K 0.5000 0.5000 0.5000
La 0.0000 0.5000 0.0000
La 0.5000 0.0000 0.0000

=====

No. 4
KLa2P | PBE-GGA | relaxed

Output
VASP energy = -4.134 eV per atom
total magnetization = 0.00 μB/f.u.
ΔE_f = -0.044 eV/atom
calculated volume = 29.12 A^3/atom

Lattice parameters (Å, degrees): 6.3696 6.3696 6.3696 137.52 137.52 61.63
Positions (direct):
K 0.7500 0.2500 0.5000
La 0.0000 0.0000 0.0000
La 0.2500 0.7500 0.5000
P 0.5000 0.5000 0.0000

=====

No. 5
KLa2P | PBE-GGA | relaxed

Output
VASP energy = -4.312 eV per atom
total magnetization = 0.00 μB/f.u.
ΔE_f = -0.221 eV/atom
calculated volume = 38.64 A^3/atom

Lattice parameters (Å, degrees): 9.2828 9.2828 7.4802 51.65 51.65 90.00
Positions (direct):
P 0.5000 0.5000 0.0000
P 0.2500 0.7500 0.5000
K 0.0000 0.0000 0.0000
K 0.7500 0.2500 0.5000
La 0.5283 0.1250 0.2500
La 0.2217 0.6250 0.2500
La 0.3750 0.4717 0.7500
La 0.8750 0.7783 0.7500

=====

No. 6
KLaP4 | PBE-GGA | relaxed

Output
VASP energy = -4.819 eV per atom
total magnetization = 0.00 μB/f.u.
ΔE_f = -0.208 eV/atom
calculated volume = 19.98 A^3/atom

Lattice parameters (Å, degrees): 5.5345 5.5345 5.5345 60.00 60.00 60.00
Positions (direct):
K 0.7500 0.7500 0.7500
La 0.0000 0.0000 0.0000
P 0.3824 0.8529 0.3824
P 0.8529 0.3824 0.3824
P 0.3824 0.3824 0.8529
P 0.3824 0.3824 0.3824

=====

No. 7
KLa2P | PBE-GGA | relaxed

Output
VASP energy = -4.474 eV per atom
total magnetization = 0.00 μB/f.u.
ΔE_f = -0.384 eV/atom
calculated volume = 38.82 A^3/atom

Lattice parameters (Å, degrees): 7.3505 7.3505 7.3505 150.05 127.81 61.35
Positions (direct):
K 0.2500 0.7500 0.5000
La 0.9172 0.9172 0.0000
La 0.5828 0.5828 0.0000
P 0.7500 0.2500 0.5000

=====

No. 8
KLa3P | PBE-GGA | relaxed

Output
VASP energy = -4.558 eV per atom
total magnetization = 1.11 μB/f.u.
ΔE_f = -0.300 eV/atom
calculated volume = 39.47 A^3/atom

Lattice parameters (Å, degrees): 5.8220 5.8220 5.8220 90.00 90.00 90.00
Positions (direct):
P 0.0000 0.0000 0.0000
K 0.5000 0.5000 0.5000
La 0.0000 0.5000 0.0000
La 0.0000 0.0000 0.5000
La 0.5000 0.0000 0.0000

=====

No. 9
KLaP3 | PBE-GGA | relaxed

Output
VASP energy = -4.194 eV per atom
total magnetization = 0.00 μB/f.u.
ΔE_f = 0.257 eV/atom
calculated volume = 34.34 A^3/atom

Lattice parameters (Å, degrees): 5.5581 5.5581 5.5581 90.00 90.00 90.00
Positions (direct):
P 0.0000 0.5000 0.0000
P 0.0000 0.0000 0.5000
P 0.5000 0.0000 0.0000
K 0.5000 0.5000 0.5000
La 0.0000 0.0000 0.0000

=====

No. 10
KLa2P | PBE-GGA | relaxed

Output
VASP energy = -4.573 eV per atom
total magnetization = 0.44 μB/f.u.
ΔE_f = -0.482 eV/atom
calculated volume = 41.77 A^3/atom

Lattice parameters (Å, degrees): 11.1820 11.1820 11.1820 160.12 159.41 28.77
Positions (direct):
K 0.3137 0.8137 0.5000
La 0.9977 0.9977 0.0000
La 0.6442 0.1442 0.5000
P 0.5444 0.5444 0.0000

=====

No. 11
KLa2P | PBE-GGA | relaxed

Output
VASP energy = -4.042 eV per atom
total magnetization = 0.00 μB/f.u.
ΔE_f = 0.048 eV/atom
calculated volume = 29.85 A^3/atom

Lattice parameters (Å, degrees): 6.2755 6.2755 3.7048 75.50 75.50 113.22
Positions (direct):
K 0.0000 0.5000 0.5000
La 0.0000 0.0000 0.0000
La 0.5000 0.5000 0.0000
P 0.5000 0.0000 0.5000

=====

No. 12
K2LaP2 | PBE-GGA | relaxed

Output
VASP energy = -4.057 eV per atom
total magnetization = 0.00 μB/f.u.
ΔE_f = -0.468 eV/atom
calculated volume = 30.41 A^3/atom

Lattice parameters (Å, degrees): 7.4566 7.4566 5.4694 90.00 90.00 90.00
Positions (direct):
P 0.3918 0.8918 0.0000
P 0.8918 0.6082 0.0000
P 0.6082 0.1082 0.0000
P 0.1082 0.3918 0.0000
K 0.1631 0.6631 0.5000
K 0.6631 0.8369 0.5000
K 0.8369 0.3369 0.5000
K 0.3369 0.1631 0.5000
La 0.0000 0.0000 0.0000
La 0.5000 0.5000 0.0000

=====

No. 13
KLa2P | PBE-GGA | relaxed

Output
VASP energy = -4.596 eV per atom
total magnetization = 0.34 μB/f.u.
ΔE_f = -0.505 eV/atom
calculated volume = 39.64 A^3/atom

Lattice parameters (Å, degrees): 4.0778 4.1952 9.5045 77.22 90.00 90.00
Positions (direct):
K 0.5000 0.5877 0.6997
La 0.0000 0.8965 0.0823
La 0.5000 0.2722 0.3307
P 0.0000 0.7436 0.3873

=====

No. 14
KLa2P | PBE-GGA | relaxed

Output
VASP energy = -4.459 eV per atom
total magnetization = 0.15 μB/f.u.
ΔE_f = -0.368 eV/atom
calculated volume = 40.34 A^3/atom

Lattice parameters (Å, degrees): 7.3383 7.3383 7.3396 55.93 55.93 30.08
Positions (direct):
K 0.1858 0.1858 0.2603
La 0.0179 0.0179 0.9114
La 0.8494 0.8494 0.5986
P 0.4470 0.4470 0.7296

=====

No. 15
KLa2P | PBE-GGA | relaxed

Output
VASP energy = -4.763 eV per atom
total magnetization = 0.01 μB/f.u.
ΔE_f = -0.672 eV/atom
calculated volume = 41.71 A^3/atom

Lattice parameters (Å, degrees): 4.1447 4.1447 11.4463 80.12 80.12 59.94
Positions (direct):
K 0.2500 0.2500 0.2500
La 0.0380 0.0380 0.8935
La 0.4620 0.4620 0.6065
P 0.7500 0.7500 0.7500

=====

No. 16
KLa2P | PBE-GGA | relaxed

Output
VASP energy = -3.839 eV per atom
total magnetization = 3.29 μB/f.u.
ΔE_f = 0.252 eV/atom
calculated volume = 29.75 A^3/atom

Lattice parameters (Å, degrees): 5.5211 5.5211 5.5211 60.00 60.00 60.00
Positions (direct):
K 0.5000 0.5000 0.5000
La 0.0000 0.0000 0.0000
La 0.2500 0.2500 0.2500
P 0.7500 0.7500 0.7500

=====

No. 17
KLa2P | PBE-GGA | relaxed

Output
VASP energy = -4.553 eV per atom
total magnetization = 0.77 μB/f.u.
ΔE_f = -0.462 eV/atom
calculated volume = 38.68 A^3/atom

Lattice parameters (Å, degrees): 4.0919 4.0919 9.2410 90.00 90.00 90.00
Positions (direct):
K 0.5000 0.5000 0.7049
La 0.0000 0.0000 0.0826
La 0.5000 0.5000 0.3189
P 0.0000 0.0000 0.3937

=====

No. 18
KLa2P | PBE-GGA | relaxed

Output
VASP energy = -4.225 eV per atom
total magnetization = 0.00 μB/f.u.
ΔE_f = -0.134 eV/atom
calculated volume = 28.45 A^3/atom

Lattice parameters (Å, degrees): 4.5702 4.9901 4.9901 90.00 90.00 90.00
Positions (direct):
K 0.5000 0.0000 0.5000
La 0.0000 0.0000 0.0000
La 0.0000 0.5000 0.5000
P 0.5000 0.5000 0.0000

=====

No. 19
KLa2P | PBE-GGA | relaxed

Output
VASP energy = -4.558 eV per atom
total magnetization = 0.54 μB/f.u.
ΔE_f = -0.468 eV/atom
calculated volume = 37.33 A^3/atom

Lattice parameters (Å, degrees): 3.6994 3.6994 10.9120 90.00 90.00 90.00
Positions (direct):
K 0.5000 0.5000 0.5000
La 0.0000 0.0000 0.8519
La 0.0000 0.0000 0.1481
P 0.5000 0.5000 0.0000

=====

No. 20
KLa3P | PBE-GGA | relaxed

Output
VASP energy = -3.214 eV per atom
total magnetization = 0.00 μB/f.u.
ΔE_f = 1.044 eV/atom
calculated volume = 30.73 A^3/atom

Lattice parameters (Å, degrees): 5.3558 5.3558 5.3558 90.00 90.00 90.00
Positions (direct):
P 0.5000 0.5000 0.5000
K 0.0000 0.0000 0.0000
La 0.0000 0.5000 0.0000
La 0.0000 0.0000 0.5000
La 0.5000 0.0000 0.0000

=====

No. 21
KLa2P | PBE-GGA | relaxed

Output
VASP energy = -4.152 eV per atom
total magnetization = 0.00 μB/f.u.
ΔE_f = -0.061 eV/atom
calculated volume = 28.21 A^3/atom

Lattice parameters (Å, degrees): 5.9106 5.9106 5.9106 131.67 131.67 70.74
Positions (direct):
K 0.7500 0.2500 0.5000
La 0.0000 0.0000 0.0000
La 0.5000 0.5000 0.0000
P 0.2500 0.7500 0.5000

=====

No. 22
KLa2P | PBE-GGA | relaxed

Output
VASP energy = -4.453 eV per atom
total magnetization = 0.00 μB/f.u.
ΔE_f = -0.363 eV/atom
calculated volume = 41.92 A^3/atom

Lattice parameters (Å, degrees): 3.8231 7.2589 7.2597 56.34 90.00 90.00
Positions (direct):
K 0.5000 0.7500 0.7500
La 0.0000 0.0894 0.0894
La 0.0000 0.4106 0.4106
P 0.5000 0.2500 0.2500

=====

No. 23
KLaP3 | PBE-GGA | relaxed

Output
VASP energy = -3.647 eV per atom
total magnetization = 0.00 μB/f.u.
ΔE_f = 0.804 eV/atom
calculated volume = 26.27 A^3/atom

Lattice parameters (Å, degrees): 5.0830 5.0830 5.0830 90.00 90.00 90.00
Positions (direct):
P 0.0000 0.5000 0.0000
P 0.0000 0.0000 0.5000
P 0.5000 0.0000 0.0000
K 0.0000 0.0000 0.0000
La 0.5000 0.5000 0.5000

=====

No. 24
K4LaP | PBE-GGA | relaxed

Output
VASP energy = -1.801 eV per atom
total magnetization = 2.04 μB/f.u.
ΔE_f = 0.654 eV/atom
calculated volume = 42.35 A^3/atom

Lattice parameters (Å, degrees): 7.1096 7.1096 7.1096 60.00 60.00 60.00
Positions (direct):
K 0.8847 0.3718 0.3718
K 0.3718 0.3718 0.8847
K 0.3718 0.8847 0.3718
K 0.3718 0.3718 0.3718
La 0.7500 0.7500 0.7500
P 0.0000 0.0000 0.0000

=====

No. 25
KLaP2Pd4 | PBE-GGA | relaxed

Output
VASP energy = -5.292 eV per atom
total magnetization = 0.00 μB/f.u.
ΔE_f = -0.590 eV/atom
calculated volume = 23.09 A^3/atom

Lattice parameters (Å, degrees): 4.1958 4.1958 10.4925 90.00 90.00 90.00
Positions (direct):
K 0.0000 0.0000 0.5000
La 0.0000 0.0000 0.0000
P 0.5000 0.5000 0.3084
P 0.5000 0.5000 0.6916
Pd 0.0000 0.5000 0.2081
Pd 0.5000 0.0000 0.7919
Pd 0.5000 0.0000 0.2081
Pd 0.0000 0.5000 0.7919

=====

No. 26
KLa2PPt | PBE-GGA | relaxed

Output
VASP energy = -4.700 eV per atom
total magnetization = 0.00 μB/f.u.
ΔE_f = -0.219 eV/atom
calculated volume = 31.79 A^3/atom

Lattice parameters (Å, degrees): 5.7568 4.7963 5.7568 90.00 90.00 90.00
Positions (direct):
P 0.0000 0.5000 0.0000
K 0.5000 0.5000 0.5000
Pt 0.0000 0.0000 0.0000
La 0.0000 0.0000 0.5000
La 0.5000 0.0000 0.0000

=====

No. 27
KLaP2Pt4 | PBE-GGA | relaxed

Output
VASP energy = -5.852 eV per atom
total magnetization = 0.00 μB/f.u.
ΔE_f = -0.726 eV/atom
calculated volume = 22.79 A^3/atom

Lattice parameters (Å, degrees): 4.1105 4.1105 10.7892 90.00 90.00 90.00
Positions (direct):
K 0.0000 0.0000 0.5000
La 0.0000 0.0000 0.0000
P 0.5000 0.5000 0.3162
P 0.5000 0.5000 0.6838
Pt 0.0000 0.5000 0.2113
Pt 0.5000 0.0000 0.7887
Pt 0.5000 0.0000 0.2113
Pt 0.0000 0.5000 0.7887